(1)
Density functional theory data (GGA+U) for a geometry-optimized Mn3PbSe4O12 structure.

Geometry as POSCAR:
```
Mn3PbSe4O12
1.0
6.791 -0.067 -0.092
-1.701 6.575 -0.092
-1.701 -2.175 6.206
O Se Pb Mn
12 4 1 3
direct
0.735 0.976 0.648
0.680 0.500 0.320
0.976 0.648 0.735
0.500 0.320 0.680
0.942 0.500 0.058
0.058 0.942 0.500
0.500 0.058 0.942
0.320 0.680 0.500
0.352 0.024 0.265
0.024 0.265 0.352
0.648 0.735 0.976
0.265 0.352 0.024
0.104 0.500 0.896
0.896 0.104 0.500
0.500 0.896 0.104
0.500 0.500 0.500
0.000 0.000 0.000
0.420 0.000 0.580
0.000 0.580 0.420
0.580 0.420 0.000
```

## Properties
SG: R32, No. 155
E in eV/cell: -115.8
V in Å³/atom: 13.683
Total magnetization in μB per cell: 13.02
Crystal system: trigonal

***

(2)
Density functional theory data (GGA+U) for a geometry-optimized MnPbSe2O8 structure.

Geometry as POSCAR:
```
MnPbSe2O8
1.0
-0.243 -2.255 -4.512
-1.648 -4.760 -0.358
-7.904 0.248 -2.525
O Se Mn Pb
8 2 1 1
direct
0.231 0.909 0.315
0.769 0.456 0.685
0.091 0.769 0.685
0.909 0.544 0.315
0.544 0.231 0.315
0.456 0.091 0.685
0.679 0.679 0.964
0.321 0.321 0.036
0.249 0.249 0.253
0.751 0.751 0.747
0.500 0.500 0.500
0.000 0.000 0.000
```

## Properties
SG: R32, No. 155
E in eV/cell: -69.0
V in Å³/atom: 14.304
Total magnetization in μB per cell: 5.00
Crystal system: trigonal

***

(3)
Density functional theory data (GGA+U) for a geometry-optimized SmMn2PbO5 structure.

Geometry as POSCAR:
```
SmMn2PbO5
1.0
3.959 0.000 0.000
0.000 3.959 0.000
0.000 0.000 7.918
Mn O Pb Sm
2 5 1 1
direct
0.500 0.500 0.238
0.500 0.500 0.762
0.000 0.500 0.184
0.500 0.000 0.184
0.500 0.000 0.816
0.500 0.500 0.500
0.000 0.500 0.816
0.000 0.000 0.500
0.000 0.000 0.000
```

## Properties
SG: P4/mmm, No. 123
E in eV/cell: -65.6
V in Å³/atom: 13.788
Total magnetization in μB per cell: 9.00
Crystal system: tetragonal

***

(4)
Density functional theory data (GGA+U) for a geometry-optimized SrMn2PbO8 structure.

Geometry as POSCAR:
```
SrMn2PbO8
1.0
-1.310 5.481 -0.724
-3.087 -3.218 3.521
4.645 1.875 5.785
O Pb Mn Sr
8 1 2 1
direct
0.667 0.333 0.980
0.171 0.342 0.737
0.829 0.171 0.263
0.171 0.829 0.737
0.829 0.658 0.263
0.342 0.171 0.263
0.333 0.667 0.020
0.658 0.829 0.737
0.000 0.000 0.500
0.667 0.333 0.194
0.333 0.667 0.806
0.000 0.000 0.000
```

## Properties
SG: P-3m1, No. 164
E in eV/cell: -74.0
V in Å³/atom: 17.826
Total magnetization in μB per cell: 2.00
Crystal system: trigonal

***

(5)
Density functional theory data (GGA+U) for a geometry-optimized Sr2MnPbO6 structure.

Geometry as POSCAR:
```
Sr2MnPbO6
1.0
-1.725 1.388 -5.308
-3.079 -4.866 -0.272
-6.401 3.874 3.149
O Sr Mn Pb
12 4 2 2
direct
0.802 0.771 0.958
0.302 0.729 0.458
0.771 0.799 0.539
0.576 0.018 0.265
0.198 0.229 0.042
0.076 0.482 0.765
0.229 0.201 0.461
0.271 0.701 0.039
0.698 0.271 0.542
0.924 0.518 0.235
0.424 0.982 0.735
0.729 0.299 0.961
0.508 0.535 0.749
0.492 0.465 0.251
0.008 0.965 0.249
0.992 0.035 0.751
0.000 0.500 0.000
0.500 0.000 0.500
0.000 0.500 0.500
0.500 0.000 0.000
```

## Properties
SG: P2_1/c, No. 14
E in eV/cell: -125.8
V in Å³/atom: 13.457
Total magnetization in μB per cell: 5.85
Crystal system: monoclinic

***

(6)
Density functional theory data (GGA+U) for a geometry-optimized Sr2MnPbO4 structure.

Geometry as POSCAR:
```
Sr2MnPbO4
1.0
7.145 0.052 -0.037
0.047 7.145 -0.037
-3.612 -3.614 5.131
O Sr Pb Mn
8 4 2 2
direct
0.762 0.256 0.508
0.767 0.734 0.009
0.244 0.738 0.991
0.234 0.267 0.509
0.766 0.733 0.491
0.756 0.262 0.009
0.233 0.266 0.991
0.238 0.744 0.492
0.500 0.000 0.500
0.500 0.000 0.000
0.000 0.000 0.500
0.500 0.500 0.000
0.000 0.000 0.000
0.500 0.500 0.500
0.000 0.500 0.000
0.000 0.500 0.500
```

## Properties
SG: C2/c, No. 15
E in eV/cell: -99.5
V in Å³/atom: 16.253
Total magnetization in μB per cell: 9.99
Crystal system: monoclinic

***

(7)
Density functional theory data (GGA+U) for a geometry-optimized SrMnPbO3 structure.

Geometry as POSCAR:
```
SrMnPbO3
1.0
3.486 0.000 0.000
0.000 7.554 1.044
0.000 -1.072 7.894
O Mn Pb Sr
6 2 2 2
direct
0.250 0.854 0.563
0.750 0.872 0.154
0.250 0.625 0.897
0.750 0.375 0.103
0.250 0.128 0.846
0.750 0.146 0.437
0.750 0.863 0.417
0.250 0.137 0.583
0.250 0.608 0.174
0.750 0.392 0.826
0.750 0.860 0.831
0.250 0.140 0.169
```

## Properties
SG: P2_1/m, No. 11
E in eV/cell: -76.3
V in Å³/atom: 17.650
Total magnetization in μB per cell: 10.00
Crystal system: monoclinic

***

(8)
Density functional theory data (GGA+U) for a geometry-optimized TaMnPbO6 structure.

Geometry as POSCAR:
```
TaMnPbO6
1.0
-2.882 2.960 -2.419
-3.527 -0.888 3.114
3.013 7.461 5.541
O Ta Mn Pb
12 2 2 2
direct
0.817 0.183 0.507
0.793 0.207 0.174
0.293 0.293 0.674
0.707 0.707 0.674
0.707 0.707 0.319
0.793 0.207 0.819
0.207 0.793 0.819
0.207 0.793 0.174
0.293 0.293 0.319
0.183 0.817 0.507
0.317 0.317 0.007
0.683 0.683 0.007
0.500 0.500 0.167
0.000 0.000 0.667
0.500 0.500 0.830
0.000 0.000 0.330
0.000 0.000 0.002
0.500 0.500 0.502
```

## Properties
SG: P4_2nm, No. 102
E in eV/cell: -137.3
V in Å³/atom: 12.441
Total magnetization in μB per cell: 8.00
Crystal system: tetragonal

***

(9)
Density functional theory data (GGA+U) for a geometry-optimized TaMn2PbO6 structure.

Geometry as POSCAR:
```
TaMn2PbO6
1.0
5.375 0.078 -0.035
-2.617 4.777 -0.073
-2.738 -1.739 5.139
O Mn Pb Ta
6 2 1 1
direct
0.136 0.147 0.716
0.730 0.607 0.680
0.432 0.055 0.165
0.567 0.987 0.698
0.079 0.368 0.141
0.774 0.712 0.125
0.623 0.313 0.898
0.579 0.785 0.354
0.053 0.515 0.553
0.993 0.989 0.972
```

## Properties
SG: P1, No. 1
E in eV/cell: -79.6
V in Å³/atom: 13.174
Total magnetization in μB per cell: 9.00
Crystal system: triclinic

***

(10)
Density functional theory data (GGA+U) for a geometry-optimized Mn2TcPbO8 structure.

Geometry as POSCAR:
```
Mn2TcPbO8
1.0
4.669 -0.004 -0.114
0.030 4.669 -0.116
-0.150 -0.146 6.558
O Mn Tc Pb
8 2 1 1
direct
0.288 0.288 0.014
0.712 0.712 0.986
0.799 0.198 0.782
0.198 0.799 0.782
0.201 0.802 0.218
0.802 0.201 0.218
0.677 0.677 0.489
0.323 0.323 0.511
0.504 0.504 0.756
0.496 0.496 0.244
0.000 0.000 0.000
0.000 0.000 0.500
```

## Properties
SG: C2/m, No. 12
E in eV/cell: -83.6
V in Å³/atom: 11.899
Total magnetization in μB per cell: 7.63
Crystal system: monoclinic

***

(11)
Density functional theory data (GGA+U) for a geometry-optimized MnTcPbO6 structure.

Geometry as POSCAR:
```
MnTcPbO6
1.0
4.851 0.000 0.000
0.000 4.851 0.000
0.000 0.000 9.823
O Mn Pb Tc
12 2 2 2
direct
0.306 0.306 0.308
0.723 0.723 0.676
0.176 0.824 0.510
0.223 0.777 0.176
0.806 0.194 0.808
0.324 0.324 0.010
0.676 0.676 0.010
0.277 0.277 0.676
0.194 0.806 0.808
0.777 0.223 0.176
0.694 0.694 0.308
0.824 0.176 0.510
0.000 0.000 0.335
0.500 0.500 0.835
0.000 0.000 0.004
0.500 0.500 0.504
0.000 0.000 0.672
0.500 0.500 0.172
```

## Properties
SG: P4_2nm, No. 102
E in eV/cell: -124.8
V in Å³/atom: 12.840
Total magnetization in μB per cell: 9.24
Crystal system: tetragonal

***

(12)
Density functional theory data (GGA+U) for a geometry-optimized MnTePb2O6 structure.

Geometry as POSCAR:
```
MnTePb2O6
1.0
5.795 0.000 0.000
2.897 5.019 0.000
2.897 1.673 4.732
O Pb Te Mn
6 2 1 1
direct
0.738 0.262 0.738
0.262 0.262 0.738
0.738 0.738 0.262
0.262 0.738 0.262
0.738 0.262 0.262
0.262 0.738 0.738
0.250 0.250 0.250
0.750 0.750 0.750
0.500 0.500 0.500
0.000 0.000 0.000
```

## Properties
SG: Fm-3m, No. 225
E in eV/cell: -60.0
V in Å³/atom: 13.761
Total magnetization in μB per cell: 5.00
Crystal system: cubic

***

(13)
Density functional theory data (GGA+U) for a geometry-optimized MnTePbO6 structure.

Geometry as POSCAR:
```
MnTePbO6
1.0
5.189 0.000 0.005
2.594 4.494 0.000
-0.007 0.003 5.474
O Pb Te Mn
6 1 1 1
direct
0.620 0.382 0.699
0.998 0.620 0.699
0.381 0.620 0.301
0.620 0.998 0.301
0.382 0.998 0.699
0.998 0.382 0.301
0.000 0.000 0.000
0.333 0.333 0.500
0.667 0.667 0.500
```

## Properties
SG: P312, No. 149
E in eV/cell: -55.1
V in Å³/atom: 14.182
Total magnetization in μB per cell: 3.00
Crystal system: trigonal

***

(14)
Density functional theory data (GGA+U) for a geometry-optimized MnTePb2O5 structure.

Geometry as POSCAR:
```
MnTePb2O5
1.0
3.416 0.000 0.000
-1.708 7.124 0.000
0.000 0.000 12.414
Te O Pb Mn
2 10 4 2
direct
0.211 0.422 0.032
0.789 0.578 0.532
0.990 0.980 0.544
0.675 0.351 0.446
0.325 0.649 0.946
0.233 0.465 0.622
0.010 0.020 0.044
0.537 0.074 0.290
0.335 0.669 0.428
0.463 0.926 0.790
0.767 0.535 0.122
0.665 0.331 0.928
0.175 0.349 0.308
0.062 0.123 0.703
0.825 0.651 0.808
0.938 0.877 0.203
0.509 0.019 0.952
0.491 0.981 0.452
```

## Properties
SG: Cmc2_1, No. 36
E in eV/cell: -105.4
V in Å³/atom: 16.782
Total magnetization in μB per cell: 10.00
Crystal system: orthorhombic

***

(15)
Density functional theory data (GGA+U) for a geometry-optimized MnTe2PbO6 structure.

Geometry as POSCAR:
```
MnTe2PbO6
1.0
6.745 -0.323 -0.335
1.746 6.996 -0.015
1.746 -0.274 6.991
O Te Mn Pb
12 4 2 2
direct
0.579 0.179 0.620
0.704 0.408 0.297
0.331 0.239 0.005
0.079 0.620 0.179
0.796 0.703 0.592
0.669 0.761 0.995
0.169 0.995 0.761
0.831 0.005 0.239
0.921 0.380 0.821
0.204 0.297 0.408
0.296 0.592 0.703
0.421 0.821 0.380
0.313 0.429 0.199
0.813 0.199 0.429
0.187 0.801 0.571
0.687 0.571 0.801
0.750 0.702 0.298
0.250 0.298 0.702
0.750 0.086 0.914
0.250 0.914 0.086
```

## Properties
SG: C2/c, No. 15
E in eV/cell: -117.5
V in Å³/atom: 16.903
Total magnetization in μB per cell: 10.00
Crystal system: monoclinic

***

(16)
Density functional theory data (GGA+U) for a geometry-optimized Mn2TePbO6 structure.

Geometry as POSCAR:
```
Mn2TePbO6
1.0
5.624 0.000 0.000
2.812 4.871 0.000
2.812 1.624 4.869
O Pb Mn Te
6 1 2 1
direct
0.857 0.686 0.217
0.240 0.857 0.217
0.722 0.205 0.767
0.686 0.240 0.217
0.205 0.306 0.767
0.306 0.722 0.767
0.790 0.790 0.631
0.530 0.531 0.409
0.004 0.004 0.988
0.322 0.322 0.035
```

## Properties
SG: R3, No. 146
E in eV/cell: -64.3
V in Å³/atom: 13.339
Total magnetization in μB per cell: 8.00
Crystal system: trigonal

***

(17)
Density functional theory data (GGA+U) for a geometry-optimized TiMnPb2O5 structure.

Geometry as POSCAR:
```
TiMnPb2O5
1.0
3.198 0.000 0.000
-1.599 6.576 0.000
0.000 0.000 12.857
Ti O Mn Pb
2 10 2 4
direct
0.803 0.606 0.527
0.197 0.394 0.027
0.344 0.689 0.423
0.465 0.930 0.788
0.671 0.343 0.455
0.656 0.311 0.923
0.329 0.657 0.955
0.279 0.557 0.609
0.721 0.443 0.109
0.535 0.070 0.288
0.040 0.081 0.051
0.960 0.919 0.551
0.504 0.007 0.453
0.496 0.993 0.953
0.198 0.395 0.318
0.802 0.605 0.818
0.945 0.890 0.200
0.055 0.110 0.700
```

## Properties
SG: Cmc2_1, No. 36
E in eV/cell: -126.7
V in Å³/atom: 15.024
Total magnetization in μB per cell: 10.00
Crystal system: orthorhombic

***

(18)
Density functional theory data (GGA+U) for a geometry-optimized TiMnPbO4 structure.

Geometry as POSCAR:
```
TiMnPbO4
1.0
-2.273 -5.399 1.570
3.520 -0.099 4.752
-4.330 4.033 3.292
Pb Mn Ti O
2 2 2 8
direct
0.258 0.250 0.114
0.742 0.750 0.886
0.860 0.750 0.422
0.140 0.250 0.578
0.335 0.750 0.387
0.665 0.250 0.613
0.126 0.990 0.339
0.874 0.010 0.661
0.126 0.510 0.339
0.874 0.490 0.661
0.449 0.250 0.767
0.552 0.250 0.353
0.551 0.750 0.233
0.448 0.750 0.647
```

## Properties
SG: P2_1/m, No. 11
E in eV/cell: -105.9
V in Å³/atom: 17.110
Total magnetization in μB per cell: 10.00
Crystal system: monoclinic

***

(19)
Density functional theory data (GGA+U) for a geometry-optimized TiMnPb2O6 structure.

Geometry as POSCAR:
```
TiMnPb2O6
1.0
-2.502 -2.440 -4.299
2.891 -4.630 0.944
-3.105 2.216 4.121
O Pb Ti Mn
6 2 1 1
direct
0.740 0.237 0.976
0.236 0.740 0.976
0.744 0.745 0.489
0.236 0.237 0.976
0.740 0.740 0.976
0.236 0.236 0.471
0.273 0.774 0.546
0.773 0.274 0.546
0.515 0.515 0.030
0.005 0.006 0.011
```

## Properties
SG: I4mm, No. 107
E in eV/cell: -69.9
V in Å³/atom: 12.346
Total magnetization in μB per cell: 3.00
Crystal system: tetragonal